Below is an optimized crystal structure of Tb7ErSc12, with properties calculated at the PBE level.

Values from the calculation:
The value obtained for the spin magnetization is 0.000 μB per formula unit. The calculated formation energy comes out at 4.49 eV/f.u. As for the raw total energy: -325.40 eV for the cell shown. The density of states at the Fermi level comes out at 2.077 states/eV/atom.

```
data_Tb7ErSc12
_cell_length_a 11.4259
_cell_length_b 11.4259
_cell_length_c 15.0344
_cell_angle_alpha 90.00
_cell_angle_beta 90.00
_cell_angle_gamma 120.00
_symmetry_space_group_name_H-M 'R -3'
_symmetry_Int_Tables_number 148
_symmetry_space_group_name_Hall '-R 3'
loop_
_atom_site_label
_atom_site_fract_x
_atom_site_fract_y
_atom_site_fract_z
Tb1 0.0000 0.0000 0.0000
Tb2 0.0432 0.8532 0.2952
Er1 0.0000 0.0000 0.5000
Sc1 0.0094 0.5672 0.2160
Sc2 0.0477 0.4584 0.5837
```